VASP calculation (PBE+U) on a relaxed CoPb3O crystal.

a = 4.988 Å, b = 4.988 Å, c = 4.988 Å
α = 90.00°, β = 90.00°, γ = 90.00°
Site moments in Bohr magnetons follow the coordinates.
Atoms (fractional coordinates):
Pb 0.000 0.500 0.000  -0.01
Pb 0.000 0.000 0.500  -0.01
Pb 0.500 0.000 0.000  -0.01
Co 0.500 0.500 0.500  2.06
O 0.000 0.000 0.000  0.00

space-group type: Pm-3m (221)
total energy: -4.126 eV/atom
crystal system: cubic
D(E_F): 0.841 states/eV/atom

VASP calculation (PBE+U) on a relaxed CoPb2O4 crystal.

a = 3.962 Å, b = 3.962 Å, c = 6.861 Å
α = 73.22°, β = 73.22°, γ = 90.00°
Site moments in Bohr magnetons follow the coordinates.
Atoms (fractional coordinates):
Pb 0.361 0.361 0.278  0.01
Pb 0.639 0.639 0.722  0.01
Co 0.000 0.000 0.000  2.56
O 0.149 0.149 0.701  0.14
O 0.851 0.851 0.299  0.14
O 0.000 0.500 0.000  0.03
O 0.500 0.000 0.000  0.03

space-group type: I4/mmm (139)
total energy: -5.486 eV/atom
crystal system: tetragonal
D(E_F): 0.078 states/eV/atom

VASP calculation (PBE+U) on a relaxed Co3PbO crystal.

a = 4.081 Å, b = 4.081 Å, c = 4.081 Å
α = 90.00°, β = 90.00°, γ = 90.00°
Site moments in Bohr magnetons follow the coordinates.
Atoms (fractional coordinates):
Pb 0.500 0.500 0.500  -0.04
Co 0.000 0.500 0.000  2.00
Co 0.000 0.000 0.500  1.63
Co 0.500 0.000 0.000  2.19
O 0.000 0.000 0.000  0.16

space-group type: Pm-3m (221)
total energy: -4.391 eV/atom
crystal system: cubic
D(E_F): 0.534 states/eV/atom

Number 1: density 9.3 g/cm³. Number 2: density 9.1 g/cm³. Number 3: density 9.8 g/cm³.